# 1
Computed, not measured: a relaxed structure of PaCrRh5 at the GGA-PBE level of DFT.

POSCAR file:
```
PaCrRh5
1.0
-4.327 3.447 0.006
-4.629 -1.695 -2.511
-9.394 -2.188 5.597
Cr Rh Pa
2 10 2
direct
0.000 0.000 0.000
0.000 0.000 0.500
0.920 0.080 0.750
0.440 0.093 0.731
0.258 0.464 0.502
0.093 0.440 0.231
0.464 0.258 0.002
0.742 0.536 0.498
0.080 0.920 0.250
0.907 0.560 0.769
0.536 0.742 0.998
0.560 0.907 0.269
0.384 0.616 0.750
0.616 0.384 0.250
```

crystal system	monoclinic
E_form	-282	meV per atom
magnetization	5.63	μB/cell

---

# 2
Computed, not measured: a relaxed structure of Mn2IrRh6 at the GGA-PBE level of DFT.

POSCAR file:
```
Mn2IrRh6
1.0
4.618 0.042 0.718
2.024 3.896 1.525
0.032 -0.055 7.180
Ir Rh Mn
1 6 2
direct
0.000 0.000 0.500
0.826 0.163 0.839
0.327 0.337 0.500
0.174 0.498 0.839
0.174 0.837 0.161
0.826 0.502 0.161
0.673 0.663 0.500
0.500 0.164 0.171
0.500 0.836 0.829
```

crystal system	monoclinic
E_form	70	meV per atom
magnetization	4.20	μB/cell

---

# 3
Computed, not measured: a relaxed structure of CoOsAu2 at the GGA-PBE level of DFT.

POSCAR file:
```
CoOsAu2
1.0
9.477 0.018 0.010
9.067 2.757 0.010
9.067 1.357 2.400
Au Co Os
2 1 1
direct
0.004 0.004 0.004
0.242 0.242 0.242
0.495 0.495 0.495
0.759 0.759 0.759
```

energy above the most stable polymorph in this dataset	27.5	meV per atom
crystal system	trigonal
E_form	299	meV per atom
magnetization	1.72	μB/cell

---

# 4
Computed, not measured: a relaxed structure of CsRb2RhCl6 at the GGA-PBE level of DFT.

POSCAR file:
```
CsRb2RhCl6
1.0
-4.426 -3.626 -4.362
6.372 -6.283 -1.244
-3.875 -5.636 8.617
Cl Rb Cs Rh
12 4 2 2
direct
0.500 0.184 0.284
0.265 0.365 0.500
0.500 0.184 0.716
0.000 0.816 0.784
0.735 0.365 0.500
0.765 0.635 0.000
0.228 0.011 0.000
0.772 0.011 0.000
0.728 0.989 0.500
0.000 0.816 0.216
0.235 0.635 0.000
0.272 0.989 0.500
0.000 0.167 0.294
0.000 0.167 0.706
0.500 0.833 0.206
0.500 0.833 0.794
0.500 0.329 0.000
0.000 0.671 0.500
0.500 0.181 0.500
0.000 0.819 0.000
```

energy above the most stable polymorph in this dataset	0.0	meV per atom
crystal system	orthorhombic
raw formation energy	-1.427	eV/atom
magnetization	0.07	μB/cell

---

Density readings, ordered: 11.25, 11.86, 17.21, 2.88 g/cm³